The following is a PBE with a Hubbard U calculation of crystalline AcCoAsO at its relaxed geometry, from OQMD via LeMat-Bulk.

Volume: 151.6 Å³/cell
Total energy: -48.8 eV/cell
Calculated density: 8.3 g/cm3
Total magnetization: 2.64 μB per formula unit

a b c (Å): 4.8259 4.2447 7.3982
angles (deg): 90.00 90.00 90.00
Space group Pmc2_1 (No. 26)
Symmetry-distinct sites (fractional):
Ac  0.0000  0.2473  0.0000
Co  0.5000  0.2558  0.3332
As  0.5000  0.2465  0.6679
O  0.0000  0.2540  0.3328